(A)
Entry from Alexandria via LeMat-Bulk: SrYAl2 after structural relaxation (GGA-PBE).

The structure in extended XYZ format:
```
4
Lattice="0.000 3.757 3.757 3.757 0.000 3.757 3.757 3.757 0.000" Properties=species:S:1:pos:R:3 pbc="T T T"
Y 3.757 3.757 3.757
Sr 0.000 0.000 0.000
Al 1.879 1.879 1.879
Al 5.636 5.636 5.636
```

Results
The calculation puts the mass density at 3.61 Mg/m³. As for the density of states at the Fermi level: 0.7361 states/eV/atom. The crystal system is cubic. The calculation puts the volume at 26.52 Å³/atom. As for the space group: Fm-3m (225).



(B)
Entry from Alexandria via LeMat-Bulk: SrYAl2 after structural relaxation (GGA-PBE).

The structure in extended XYZ format:
```
4
Lattice="-4.461 4.421 -0.791 -3.473 3.076 -4.307 -4.648 -1.900 -0.580" Properties=species:S:1:pos:R:3 pbc="T T T"
Y -3.178 1.489 -1.463
Sr -6.222 2.604 -2.745
Al -4.804 -1.448 -0.797
Al -9.318 3.851 -4.092
```

Results
The calculation puts the mass density at 3.56 Mg/m³. As for the density of states at the Fermi level: 0.8693 states/eV/atom. The crystal system is orthorhombic. The calculation puts the volume at 26.88 Å³/atom. As for the space group: Imm2 (44).



(C)
Entry from Alexandria via LeMat-Bulk: SrYAl2 after structural relaxation (GGA-PBE).

The structure in extended XYZ format:
```
8
Lattice="-7.536 2.489 2.653 1.790 -2.776 7.688 -1.569 2.941 5.981" Properties=species:S:1:pos:R:3 pbc="T T T"
Y 0.000 0.000 0.000
Y -5.989 2.643 6.902
Sr -2.873 -0.144 5.171
Sr -1.326 0.011 9.420
Al -5.023 1.992 4.165
Al -0.071 -0.736 6.581
Al -3.366 2.152 8.216
Al -6.170 1.901 13.682
```

Results
The calculation puts the mass density at 3.17 Mg/m³. As for the density of states at the Fermi level: 0.8904 states/eV/atom. The crystal system is tetragonal. The calculation puts the volume at 30.16 Å³/atom. As for the space group: I-42d (122).



Relative to the most stable structure, the computed energies are (A) 0; (B) 26; (C) 421, all in meV/atom.